! CaCd2Ir, optimized geometry, DFT PBE-GGA; values from VASP
! Space-group type ... I4/mmm
! Energy of formation from the pure elements ... -0.166 eV per atom
&SYSTEM
  ibrav = 0, nat = 4, ntyp = 3
/
ATOMIC_SPECIES
Ca 40.08 Ca.upf
Cd 112.41 Cd.upf
Ir 192.22 Ir.upf
CELL_PARAMETERS angstrom
-2.163 2.163 4.314
2.163 -2.163 4.314
2.163 2.163 -4.314
ATOMIC_POSITIONS angstrom
Ca 0.000 0.000 0.000
Cd 2.163 0.000 2.157
Cd 0.000 2.163 2.157
Ir 0.000 0.000 4.314

=====

! Nd2EuBe, optimized geometry, DFT PBE-GGA; values from VASP
! Space-group type ... P4/mmm
! Energy of formation from the pure elements ... 0.131 eV per atom
&SYSTEM
  ibrav = 0, nat = 4, ntyp = 3
/
ATOMIC_SPECIES
Nd 144.24 Nd.upf
Eu 151.96 Eu.upf
Be 9.01 Be.upf
CELL_PARAMETERS angstrom
3.640 0.000 0.000
0.000 3.640 0.000
0.000 0.000 9.003
ATOMIC_POSITIONS angstrom
Nd 0.000 0.000 1.636
Nd 0.000 0.000 7.366
Eu 1.820 1.820 4.501
Be 1.820 1.820 0.000

=====

! TmMg8Pt2, optimized geometry, DFT PBE-GGA; values from VASP
! Space-group type ... C2/m
! Energy of formation from the pure elements ... -0.321 eV per atom
&SYSTEM
  ibrav = 0, nat = 11, ntyp = 3
/
ATOMIC_SPECIES
Tm 168.93 Tm.upf
Mg 24.30 Mg.upf
Pt 195.08 Pt.upf
CELL_PARAMETERS angstrom
4.084 -6.076 0.000
4.084 6.076 0.000
-1.194 0.000 5.038
ATOMIC_POSITIONS angstrom
Tm 0.000 0.000 0.000
Mg 0.923 1.579 2.901
Mg 4.084 2.839 0.000
Mg 0.923 -1.579 2.901
Mg 3.059 0.000 1.122
Mg 3.916 0.000 3.916
Mg 6.052 1.579 2.137
Mg 4.084 -2.839 0.000
Mg 6.052 -1.579 2.137
Pt 3.488 2.302 2.519
Pt 3.488 -2.302 2.519

=====

! HfNbCu, optimized geometry, DFT PBE-GGA; values from VASP
! Space-group type ... Imm2
! Energy of formation from the pure elements ... 0.044 eV per atom
&SYSTEM
  ibrav = 0, nat = 3, ntyp = 3
/
ATOMIC_SPECIES
Hf 178.49 Hf.upf
Nb 92.91 Nb.upf
Cu 63.55 Cu.upf
CELL_PARAMETERS angstrom
-1.559 1.715 4.946
1.559 -1.715 4.946
1.559 1.715 -4.946
ATOMIC_POSITIONS angstrom
Hf 0.000 0.000 0.000
Nb 0.000 0.000 6.791
Cu 0.000 0.000 3.327

=====

! PrDyGa, optimized geometry, DFT PBE-GGA; values from VASP
! Space-group type ... I4mm
! Energy of formation from the pure elements ... -0.341 eV per atom
&SYSTEM
  ibrav = 0, nat = 3, ntyp = 3
/
ATOMIC_SPECIES
Pr 140.91 Pr.upf
Dy 162.50 Dy.upf
Ga 69.72 Ga.upf
CELL_PARAMETERS angstrom
-1.778 1.778 6.656
1.778 -1.778 6.656
1.778 1.778 -6.656
ATOMIC_POSITIONS angstrom
Pr 0.000 0.000 0.000
Dy 0.000 0.000 9.480
Ga 0.000 0.000 4.613

=====

! NdHoCdPb, optimized geometry, DFT PBE-GGA; values from VASP
! Space-group type ... F-43m
! Energy of formation from the pure elements ... -0.398 eV per atom
&SYSTEM
  ibrav = 0, nat = 4, ntyp = 4
/
ATOMIC_SPECIES
Nd 144.24 Nd.upf
Ho 164.93 Ho.upf
Cd 112.41 Cd.upf
Pb 207.20 Pb.upf
CELL_PARAMETERS angstrom
0.000 3.826 3.826
3.826 0.000 3.826
3.826 3.826 0.000
ATOMIC_POSITIONS angstrom
Nd 0.000 0.000 0.000
Ho 3.826 3.826 3.826
Cd 1.913 1.913 1.913
Pb 5.740 5.740 5.740